# 1
Compound: Cs4SnGe3Br12
Source: Alexandria via LeMat-Bulk
Functional: GGA-PBE
Structure: optimized geometry

- space group = Im-3m, No. 229
- final energy (eV per atom) = -3.1955

a b c (Å): 9.8313 9.8313 9.8313
angles (deg): 109.47 109.47 109.47
Sites, in units of the cell vectors:
Cs 0.5000 0.5000 0.5000
Cs 0.0000 0.0000 0.5000
Cs 0.5000 0.0000 0.0000
Cs 0.0000 0.5000 0.0000
Sn 0.0000 0.0000 0.0000
Ge 0.5000 0.0000 0.5000
Ge 0.5000 0.5000 0.0000
Ge 0.0000 0.5000 0.5000
Br 0.2500 0.5000 0.7500
Br 0.7433 0.0000 0.7433
Br 0.2567 0.0000 0.2567
Br 0.7500 0.5000 0.2500
Br 0.7433 0.7433 0.0000
Br 0.2567 0.2567 0.0000
Br 0.7500 0.2500 0.5000
Br 0.2500 0.7500 0.5000
Br 0.5000 0.2500 0.7500
Br 0.0000 0.7433 0.7433
Br 0.5000 0.7500 0.2500
Br 0.0000 0.2567 0.2567

---

# 2
Compound: MnCr2SnP
Source: Alexandria via LeMat-Bulk
Functional: GGA-PBE
Structure: optimized geometry

- space group = P4/mmm, No. 123
- DFT formation energy (eV per formula unit) = 4.59
- N(E_F) (states/eV/cell) = 3.560

a b c (Å): 4.4564 4.8637 4.4564
angles (deg): 90.00 90.00 90.00
Each line ends with the local moment (μB).
Sites, in units of the cell vectors:
Cr 0.0000 0.0000 0.5000  2.88
Cr 0.5000 0.0000 0.0000  3.23
Mn 0.0000 0.0000 0.0000  -1.75
Sn 0.0000 0.5000 0.0000  0.00
P 0.5000 0.5000 0.5000  -0.16

---

Please write out number 1 again, unchanged.
Compound: Cs4SnGe3Br12
Source: Alexandria via LeMat-Bulk
Functional: GGA-PBE
Structure: optimized geometry

- space group = Im-3m, No. 229
- final energy (eV per atom) = -3.1955

a b c (Å): 9.8313 9.8313 9.8313
angles (deg): 109.47 109.47 109.47
Sites, in units of the cell vectors:
Cs 0.5000 0.5000 0.5000
Cs 0.0000 0.0000 0.5000
Cs 0.5000 0.0000 0.0000
Cs 0.0000 0.5000 0.0000
Sn 0.0000 0.0000 0.0000
Ge 0.5000 0.0000 0.5000
Ge 0.5000 0.5000 0.0000
Ge 0.0000 0.5000 0.5000
Br 0.2500 0.5000 0.7500
Br 0.7433 0.0000 0.7433
Br 0.2567 0.0000 0.2567
Br 0.7500 0.5000 0.2500
Br 0.7433 0.7433 0.0000
Br 0.2567 0.2567 0.0000
Br 0.7500 0.2500 0.5000
Br 0.2500 0.7500 0.5000
Br 0.5000 0.2500 0.7500
Br 0.0000 0.7433 0.7433
Br 0.5000 0.7500 0.2500
Br 0.0000 0.2567 0.2567